Record 1
! Ag6GeS4Br2 PBE-GGA relaxed; values from VASP
&SYSTEM
  ibrav = 0, nat = 52, ntyp = 4
/
ATOMIC_SPECIES
Ag 107.87 Ag.upf
Ge 72.64 Ge.upf
S 32.06 S.upf
Br 79.90 Br.upf
ATOMIC_POSITIONS crystal
Ag 0.0000 0.0000 0.0000
Ag 0.0000 0.5000 0.0000
Ag 0.0200 0.0657 0.4368
Ag 0.0200 0.4343 0.4368
Ag 0.0268 0.7500 0.1456
Ag 0.1027 0.0447 0.2787
Ag 0.1027 0.4553 0.2787
Ag 0.3973 0.5447 0.7787
Ag 0.3973 0.9553 0.7787
Ag 0.4732 0.2500 0.6456
Ag 0.4800 0.5657 0.9368
Ag 0.4800 0.9343 0.9368
Ag 0.5000 0.0000 0.5000
Ag 0.5000 0.5000 0.5000
Ag 0.5200 0.0657 0.0632
Ag 0.5200 0.4343 0.0632
Ag 0.5268 0.7500 0.3544
Ag 0.6027 0.0447 0.2213
Ag 0.6027 0.4553 0.2213
Ag 0.8973 0.5447 0.7213
Ag 0.8973 0.9553 0.7213
Ag 0.9732 0.2500 0.8544
Ag 0.9800 0.5657 0.5632
Ag 0.9800 0.9343 0.5632
Ge 0.0072 0.2500 0.1314
Ge 0.4928 0.7500 0.6314
Ge 0.5072 0.2500 0.3686
Ge 0.9928 0.7500 0.8686
S 0.1848 0.2500 0.0470
S 0.1897 0.5136 0.8708
S 0.1897 0.9864 0.8708
S 0.2267 0.2500 0.2038
S 0.2733 0.7500 0.7038
S 0.3103 0.0136 0.3708
S 0.3103 0.4864 0.3708
S 0.3152 0.7500 0.5470
S 0.6848 0.2500 0.4530
S 0.6897 0.5136 0.6292
S 0.6897 0.9864 0.6292
S 0.7267 0.2500 0.2962
S 0.7733 0.7500 0.7962
S 0.8103 0.0136 0.1292
S 0.8103 0.4864 0.1292
S 0.8152 0.7500 0.9530
Br 0.1325 0.2500 0.7098
Br 0.1696 0.2500 0.5443
Br 0.3304 0.7500 0.0443
Br 0.3675 0.7500 0.2098
Br 0.6325 0.2500 0.7902
Br 0.6696 0.2500 0.9557
Br 0.8304 0.7500 0.4557
Br 0.8675 0.7500 0.2902
CELL_PARAMETERS angstrom
6.4481 0.0000 0.0000
0.0000 7.8575 0.0000
0.0000 0.0000 23.7362
! Magnetic moment (μB/f.u.): 0.0
! Space group: Pnma (62)
! Formation energy from raw total energies (eV/atom): -0.215
! DFT total energy (eV/atom): -3.4137



Record 2
! AgGeSbBr2 PBE-GGA relaxed; values from VASP
&SYSTEM
  ibrav = 0, nat = 5, ntyp = 4
/
ATOMIC_SPECIES
Ag 107.87 Ag.upf
Ge 72.64 Ge.upf
Sb 121.76 Sb.upf
Br 79.90 Br.upf
ATOMIC_POSITIONS crystal
Ag 0.0000 0.0000 0.0000
Ge 0.0000 0.0000 0.5000
Sb 0.5000 0.5000 0.5000
Br 0.0000 0.5000 0.0000
Br 0.5000 0.0000 0.0000
CELL_PARAMETERS angstrom
5.1909 0.0000 0.0000
0.0000 5.1909 0.0000
0.0000 0.0000 5.3283
! Magnetic moment (μB/f.u.): 0.0
! Density of states at the Fermi level (states/eV/cell): 4.3
! Space group: P4/mmm (123)
! Formation energy from raw total energies (eV/atom): 0.456
! DFT total energy (eV/atom): -2.5318



Record 3
! AgGeSeBr PBE-GGA relaxed; values from VASP
&SYSTEM
  ibrav = 0, nat = 4, ntyp = 4
/
ATOMIC_SPECIES
Ag 107.87 Ag.upf
Ge 72.64 Ge.upf
Se 78.96 Se.upf
Br 79.90 Br.upf
ATOMIC_POSITIONS crystal
Ag 0.0000 0.0000 0.0000
Ge 0.5899 0.5899 0.5899
Se 0.1988 0.1988 0.1988
Br 0.3974 0.3974 0.3974
CELL_PARAMETERS angstrom
1.8884 1.0903 8.3390
-1.8884 1.0903 8.3390
0.0000 -2.1805 8.3390
! Magnetic moment (μB/f.u.): 0.0
! Space group: R3m (160)
! Formation energy from raw total energies (eV/atom): -0.175
! DFT total energy (eV/atom): -3.3316



Record 4
! SrAgGeBr5 PBE-GGA relaxed; values from VASP
&SYSTEM
  ibrav = 0, nat = 16, ntyp = 4
/
ATOMIC_SPECIES
Sr 87.62 Sr.upf
Ag 107.87 Ag.upf
Ge 72.64 Ge.upf
Br 79.90 Br.upf
ATOMIC_POSITIONS crystal
Sr 0.0000 0.5000 0.0000
Sr 0.5000 0.0000 0.5000
Ag 0.0638 0.9362 0.7500
Ag 0.9362 0.0638 0.2500
Ge 0.3827 0.6173 0.7500
Ge 0.6173 0.3827 0.2500
Br 0.1447 0.3003 0.7836
Br 0.1857 0.7279 0.5639
Br 0.2721 0.8143 0.9361
Br 0.3003 0.1447 0.2836
Br 0.3688 0.6312 0.2500
Br 0.6312 0.3688 0.7500
Br 0.6997 0.8553 0.7164
Br 0.7279 0.1857 0.0639
Br 0.8143 0.2721 0.4361
Br 0.8553 0.6997 0.2164
CELL_PARAMETERS angstrom
4.7774 -6.2803 0.0000
4.7774 6.2803 0.0000
-4.2360 0.0000 9.6458
! Magnetic moment (μB/f.u.): 0.0
! Density of states at the Fermi level (states/eV/cell): 0.0
! Space group: C2/c (15)
! Formation energy from raw total energies (eV/atom): -1.001
! DFT total energy (eV/atom): -3.1902



Record 5
! Tl2Ag2GeBr6 PBE-GGA relaxed; values from VASP
&SYSTEM
  ibrav = 0, nat = 11, ntyp = 4
/
ATOMIC_SPECIES
Tl 204.38 Tl.upf
Ag 107.87 Ag.upf
Ge 72.64 Ge.upf
Br 79.90 Br.upf
ATOMIC_POSITIONS crystal
Tl 0.2441 0.2441 0.1898
Tl 0.7559 0.7559 0.8102
Ag 0.4300 0.4300 0.7771
Ag 0.5700 0.5700 0.2229
Ge 0.0000 0.0000 0.5000
Br 0.1844 0.6900 0.1906
Br 0.2178 0.2178 0.5950
Br 0.3100 0.8156 0.8094
Br 0.6900 0.1844 0.1906
Br 0.7822 0.7822 0.4050
Br 0.8156 0.3100 0.8094
CELL_PARAMETERS angstrom
7.1628 -3.9405 0.0000
7.1628 3.9405 0.0000
-4.0291 0.0000 6.5804
! Magnetic moment (μB/f.u.): 0.0
! Density of states at the Fermi level (states/eV/cell): 0.0
! Space group: C2/m (12)
! Formation energy from raw total energies (eV/atom): -0.550
! DFT total energy (eV/atom): -2.8306



Record 6
! TlAg2GeBr6 PBE-GGA relaxed; values from VASP
&SYSTEM
  ibrav = 0, nat = 20, ntyp = 4
/
ATOMIC_SPECIES
Tl 204.38 Tl.upf
Ag 107.87 Ag.upf
Ge 72.64 Ge.upf
Br 79.90 Br.upf
ATOMIC_POSITIONS crystal
Tl 0.1725 0.8275 0.7500
Tl 0.8275 0.1725 0.2500
Ag 0.3710 0.4494 0.8447
Ag 0.4494 0.3710 0.3447
Ag 0.5506 0.6290 0.6553
Ag 0.6290 0.5506 0.1553
Ge 0.1742 0.8258 0.2500
Ge 0.8258 0.1742 0.7500
Br 0.0516 0.1802 0.6852
Br 0.1449 0.6088 0.9735
Br 0.1802 0.0516 0.1852
Br 0.2643 0.4704 0.5221
Br 0.3912 0.8551 0.5265
Br 0.4704 0.2643 0.0221
Br 0.5296 0.7357 0.9779
Br 0.6088 0.1449 0.4735
Br 0.7357 0.5296 0.4779
Br 0.8198 0.9484 0.8148
Br 0.8551 0.3912 0.0265
Br 0.9484 0.8198 0.3148
CELL_PARAMETERS angstrom
7.3593 -6.4754 0.0000
7.3593 6.4754 0.0000
-3.7837 0.0000 7.5873
! Magnetic moment (μB/f.u.): 1.0
! Density of states at the Fermi level (states/eV/cell): 6.3
! Space group: C2/c (15)
! Formation energy from raw total energies (eV/atom): -0.457
! DFT total energy (eV/atom): -2.7295



Record 7
! TlAgGeBr4 PBE-GGA relaxed; values from VASP
&SYSTEM
  ibrav = 0, nat = 14, ntyp = 4
/
ATOMIC_SPECIES
Tl 204.38 Tl.upf
Ag 107.87 Ag.upf
Ge 72.64 Ge.upf
Br 79.90 Br.upf
ATOMIC_POSITIONS crystal
Tl 0.2371 0.2500 0.4431
Tl 0.7629 0.7500 0.5569
Ag 0.1039 0.2500 0.8181
Ag 0.8961 0.7500 0.1819
Ge 0.3141 0.7500 0.9582
Ge 0.6859 0.2500 0.0418
Br 0.0474 0.2500 0.1066
Br 0.1441 0.7500 0.3995
Br 0.4051 0.5028 0.7837
Br 0.4051 0.9972 0.7837
Br 0.5949 0.0028 0.2163
Br 0.5949 0.4972 0.2163
Br 0.8559 0.2500 0.6005
Br 0.9526 0.7500 0.8934
CELL_PARAMETERS angstrom
7.0520 0.0000 0.0000
0.0000 7.4052 0.0000
-0.3747 0.0000 9.1819
! Magnetic moment (μB/f.u.): 0.0
! Density of states at the Fermi level (states/eV/cell): 0.0
! Space group: P2_1/m (11)
! Formation energy from raw total energies (eV/atom): -0.558
! DFT total energy (eV/atom): -2.9184



Record 8
! Tl4AgGe3Br12 PBE-GGA relaxed; values from VASP
&SYSTEM
  ibrav = 0, nat = 20, ntyp = 4
/
ATOMIC_SPECIES
Tl 204.38 Tl.upf
Ag 107.87 Ag.upf
Ge 72.64 Ge.upf
Br 79.90 Br.upf
ATOMIC_POSITIONS crystal
Tl 0.0000 0.0000 0.5000
Tl 0.0000 0.5000 0.0000
Tl 0.5000 0.0000 0.0000
Tl 0.5000 0.5000 0.5000
Ag 0.0000 0.0000 0.0000
Ge 0.0000 0.5000 0.5000
Ge 0.5000 0.0000 0.5000
Ge 0.5000 0.5000 0.0000
Br 0.0000 0.2538 0.2538
Br 0.0000 0.7462 0.7462
Br 0.2500 0.5000 0.7500
Br 0.2500 0.7500 0.5000
Br 0.2538 0.0000 0.2538
Br 0.2538 0.2538 0.0000
Br 0.5000 0.2500 0.7500
Br 0.5000 0.7500 0.2500
Br 0.7462 0.0000 0.7462
Br 0.7462 0.7462 0.0000
Br 0.7500 0.2500 0.5000
Br 0.7500 0.5000 0.2500
CELL_PARAMETERS angstrom
-5.4683 5.4683 5.4683
5.4683 -5.4683 5.4683
5.4683 5.4683 -5.4683
! Magnetic moment (μB/f.u.): 0.0
! Density of states at the Fermi level (states/eV/cell): 4.1
! Space group: Im-3m (229)
! Formation energy from raw total energies (eV/atom): -0.610
! DFT total energy (eV/atom): -2.9220



Record 9
! Tl2AgGeBr6 PBE-GGA relaxed; values from VASP
&SYSTEM
  ibrav = 0, nat = 20, ntyp = 4
/
ATOMIC_SPECIES
Tl 204.38 Tl.upf
Ag 107.87 Ag.upf
Ge 72.64 Ge.upf
Br 79.90 Br.upf
ATOMIC_POSITIONS crystal
Tl 0.2314 0.0665 0.2507
Tl 0.2314 0.4335 0.7507
Tl 0.7686 0.5665 0.2493
Tl 0.7686 0.9335 0.7493
Ag 0.0000 0.0000 0.5000
Ag 0.0000 0.5000 0.0000
Ge 0.5000 0.0000 0.0000
Ge 0.5000 0.5000 0.5000
Br 0.1811 0.2044 0.9666
Br 0.1811 0.2956 0.4666
Br 0.2659 0.7162 0.9688
Br 0.2659 0.7838 0.4688
Br 0.3211 0.0056 0.7553
Br 0.3211 0.4944 0.2553
Br 0.6789 0.5056 0.7447
Br 0.6789 0.9944 0.2447
Br 0.7341 0.2162 0.5312
Br 0.7341 0.2838 0.0312
Br 0.8189 0.7044 0.5334
Br 0.8189 0.7956 0.0334
CELL_PARAMETERS angstrom
7.5034 0.0000 0.0000
0.0000 7.7440 0.0000
-7.4875 0.0000 10.7959
! Magnetic moment (μB/f.u.): 0.0
! Density of states at the Fermi level (states/eV/cell): 3.9
! Space group: P2_1/c (14)
! Formation energy from raw total energies (eV/atom): -0.604
! DFT total energy (eV/atom): -2.8283



Record 10
! Tl3Ag3GeBr8 PBE-GGA relaxed; values from VASP
&SYSTEM
  ibrav = 0, nat = 15, ntyp = 4
/
ATOMIC_SPECIES
Tl 204.38 Tl.upf
Ag 107.87 Ag.upf
Ge 72.64 Ge.upf
Br 79.90 Br.upf
ATOMIC_POSITIONS crystal
Tl 0.0000 0.0000 0.0000
Tl 0.0000 0.5000 0.0000
Tl 0.5000 0.0000 0.0000
Ag 0.0000 0.5000 0.5000
Ag 0.5000 0.0000 0.5000
Ag 0.5000 0.5000 0.5000
Ge 0.0000 0.0000 0.5000
Br 0.2298 0.2298 0.7017
Br 0.2334 0.7417 0.7044
Br 0.2583 0.7666 0.2956
Br 0.2637 0.2637 0.2955
Br 0.7363 0.7363 0.7045
Br 0.7417 0.2334 0.7044
Br 0.7666 0.2583 0.2956
Br 0.7702 0.7702 0.2983
CELL_PARAMETERS angstrom
7.4432 -4.2619 0.0000
7.4432 4.2619 0.0000
-4.9270 0.0000 7.6082
! Magnetic moment (μB/f.u.): 0.0
! Density of states at the Fermi level (states/eV/cell): 0.0
! Space group: C2/m (12)
! Formation energy from raw total energies (eV/atom): -0.568
! DFT total energy (eV/atom): -2.8111



Record 11
! Tl3AgGe2Br9 PBE-GGA relaxed; values from VASP
&SYSTEM
  ibrav = 0, nat = 15, ntyp = 4
/
ATOMIC_SPECIES
Tl 204.38 Tl.upf
Ag 107.87 Ag.upf
Ge 72.64 Ge.upf
Br 79.90 Br.upf
ATOMIC_POSITIONS crystal
Tl 0.0000 0.0000 0.0000
Tl 0.3333 0.6667 0.6679
Tl 0.6667 0.3333 0.3321
Ag 0.0000 0.0000 0.5000
Ge 0.3333 0.6667 0.1734
Ge 0.6667 0.3333 0.8266
Br 0.0000 0.5000 0.0000
Br 0.1693 0.3386 0.3306
Br 0.1693 0.8307 0.3306
Br 0.3386 0.1693 0.6694
Br 0.5000 0.0000 0.0000
Br 0.5000 0.5000 0.0000
Br 0.6614 0.8307 0.3306
Br 0.8307 0.1693 0.6694
Br 0.8307 0.6614 0.6694
CELL_PARAMETERS angstrom
7.7100 0.0000 0.0000
-3.8550 6.6770 0.0000
0.0000 0.0000 9.4417
! Magnetic moment (μB/f.u.): 0.0
! Density of states at the Fermi level (states/eV/cell): 3.5
! Space group: P-3m1 (164)
! Formation energy from raw total energies (eV/atom): -0.605
! DFT total energy (eV/atom): -2.8875



Record 12
! Ag4H3Br4 PBE-GGA relaxed; values from VASP
&SYSTEM
  ibrav = 0, nat = 11, ntyp = 3
/
ATOMIC_SPECIES
Ag 107.87 Ag.upf
H 1.01 H.upf
Br 79.90 Br.upf
ATOMIC_POSITIONS crystal
Ag 0.0000 0.0000 0.0000
Ag 0.2396 0.3928 0.3928
Ag 0.5000 0.9600 0.9600
Ag 0.7604 0.3928 0.3928
H 0.2489 0.6244 0.6244
H 0.5000 0.7279 0.7279
H 0.7511 0.6244 0.6244
Br 0.0000 0.3857 0.3857
Br 0.2397 0.0138 0.0138
Br 0.5000 0.3375 0.3375
Br 0.7603 0.0138 0.0138
CELL_PARAMETERS angstrom
13.5443 0.0000 0.0000
0.0000 2.6213 3.5293
0.0000 -2.6213 3.5293
! Magnetic moment (μB/f.u.): 0.0
! Density of states at the Fermi level (states/eV/cell): 2.7
! Space group: Amm2 (38)
! DFT total energy (eV/atom): -2.4170